Entry 1:
! Ge2RhBr | Alexandria via LeMat-Bulk | PBE | relaxed; values from VASP
&SYSTEM
  ibrav = 0, nat = 8, ntyp = 3
/
ATOMIC_SPECIES
Ge 72.64 Ge.upf
Rh 102.91 Rh.upf
Br 79.90 Br.upf
ATOMIC_POSITIONS crystal
Ge 0.043 0.625 0.918
Ge 0.375 0.293 0.418
Ge 0.707 0.125 0.082
Ge 0.875 0.957 0.582
Rh 0.000 0.000 0.000
Rh 0.750 0.250 0.500
Br 0.250 0.750 0.500
Br 0.500 0.500 0.000
CELL_PARAMETERS angstrom
-3.080 3.080 5.747
3.080 -3.080 5.747
3.080 3.080 -5.747
! Volume = 218 Å³ per cell
! Uncorrected formation energy = 0.0049 eV/atom
! DFT total energy = -4.56 eV/atom
! Space group = No. 122
! Magnetization = 0.0 μB/cell

Entry 2:
! Pa2Si4Os3Rh | Alexandria via LeMat-Bulk | PBE | relaxed; values from VASP
&SYSTEM
  ibrav = 0, nat = 10, ntyp = 4
/
ATOMIC_SPECIES
Pa 231.04 Pa.upf
Si 28.09 Si.upf
Os 190.23 Os.upf
Rh 102.91 Rh.upf
ATOMIC_POSITIONS crystal
Pa 0.000 0.500 0.246
Pa 0.500 0.000 0.754
Si 0.000 0.000 0.000
Si 0.000 0.500 0.627
Si 0.500 0.000 0.373
Si 0.500 0.500 0.000
Os 0.000 0.500 0.868
Os 0.500 0.000 0.132
Os 0.500 0.500 0.500
Rh 0.000 0.000 0.500
CELL_PARAMETERS angstrom
4.144 0.000 0.000
0.000 4.144 0.000
0.000 0.000 9.815
! Volume = 169 Å³ per cell
! Uncorrected formation energy = -0.7055 eV/atom
! DFT total energy = -8.88 eV/atom
! Space group = No. 115
! Magnetization = 0.0 μB/cell

Entry 3:
! CoSn2Sb | Alexandria via LeMat-Bulk | PBE | relaxed; values from VASP
&SYSTEM
  ibrav = 0, nat = 8, ntyp = 3
/
ATOMIC_SPECIES
Co 58.93 Co.upf
Sn 118.71 Sn.upf
Sb 121.76 Sb.upf
ATOMIC_POSITIONS crystal
Co 0.250 0.250 0.049
Co 0.750 0.750 0.951
Sn 0.250 0.565 0.192
Sn 0.250 0.935 0.192
Sn 0.750 0.065 0.808
Sn 0.750 0.435 0.808
Sb 0.250 0.750 0.653
Sb 0.750 0.250 0.347
CELL_PARAMETERS angstrom
3.776 0.000 0.000
0.000 8.251 0.000
0.000 0.000 5.776
! Volume = 180 Å³ per cell
! Uncorrected formation energy = 0.0269 eV/atom
! DFT total energy = -4.78 eV/atom
! Space group = No. 59
! Magnetization = 0.0 μB/cell

Entry 4:
! Ir3CI | Alexandria via LeMat-Bulk | PBE | relaxed; values from VASP
&SYSTEM
  ibrav = 0, nat = 5, ntyp = 3
/
ATOMIC_SPECIES
Ir 192.22 Ir.upf
C 12.01 C.upf
I 126.90 I.upf
ATOMIC_POSITIONS crystal
Ir 0.000 0.000 0.500
Ir 0.000 0.500 0.000
Ir 0.500 0.000 0.000
C 0.000 0.000 0.000
I 0.500 0.500 0.500
CELL_PARAMETERS angstrom
4.247 0.000 0.000
0.000 4.247 0.000
0.000 0.000 4.247
! Volume = 77 Å³ per cell
! Uncorrected formation energy = 1.0921 eV/atom
! DFT total energy = -6.38 eV/atom
! Space group = No. 221
! Magnetization = 1.2 μB/cell

Entry 5:
! Ba2NCl | Alexandria via LeMat-Bulk | PBE | relaxed; values from VASP
&SYSTEM
  ibrav = 0, nat = 4, ntyp = 3
/
ATOMIC_SPECIES
Ba 137.33 Ba.upf
N 14.01 N.upf
Cl 35.45 Cl.upf
ATOMIC_POSITIONS crystal
Ba 0.250 0.250 0.250
Ba 0.750 0.750 0.750
N 0.000 0.000 0.000
Cl 0.500 0.500 0.500
CELL_PARAMETERS angstrom
0.000 3.670 3.670
3.670 0.000 3.670
3.670 3.670 0.000
! Volume = 99 Å³ per cell
! Uncorrected formation energy = -0.8358 eV/atom
! DFT total energy = -4.34 eV/atom
! Space group = No. 225
! Magnetization = 0.0 μB/cell

Entry 6:
! HoPd7Au4 | Alexandria via LeMat-Bulk | PBE | relaxed; values from VASP
&SYSTEM
  ibrav = 0, nat = 12, ntyp = 3
/
ATOMIC_SPECIES
Ho 164.93 Ho.upf
Pd 106.42 Pd.upf
Au 196.97 Au.upf
ATOMIC_POSITIONS crystal
Ho 0.000 0.000 0.000
Pd 0.112 0.112 0.456
Pd 0.289 0.289 0.084
Pd 0.343 0.343 0.380
Pd 0.500 0.500 0.000
Pd 0.657 0.657 0.620
Pd 0.711 0.711 0.916
Pd 0.888 0.888 0.544
Au 0.185 0.185 0.772
Au 0.413 0.413 0.686
Au 0.587 0.587 0.314
Au 0.815 0.815 0.228
CELL_PARAMETERS angstrom
5.105 -2.493 0.000
5.105 2.493 0.000
-4.917 0.000 8.619
! Volume = 219 Å³ per cell
! Energy of formation = -0.12 eV per atom
! DFT total energy = -4.63 eV/atom
! Space group = No. 12
! Magnetization = 0.0 μB/cell

Entry 7:
! Ac3RhPbS | Alexandria via LeMat-Bulk | PBE | relaxed; values from VASP
&SYSTEM
  ibrav = 0, nat = 12, ntyp = 4
/
ATOMIC_SPECIES
Ac 227.00 Ac.upf
Rh 102.91 Rh.upf
Pb 207.20 Pb.upf
S 32.06 S.upf
ATOMIC_POSITIONS crystal
Ac 0.031 0.250 0.356
Ac 0.252 0.250 0.975
Ac 0.426 0.750 0.620
Ac 0.574 0.250 0.380
Ac 0.748 0.750 0.025
Ac 0.969 0.750 0.644
Rh 0.219 0.250 0.639
Rh 0.781 0.750 0.361
Pb 0.240 0.750 0.232
Pb 0.760 0.250 0.768
S 0.356 0.750 0.876
S 0.644 0.250 0.124
CELL_PARAMETERS angstrom
8.130 0.000 0.000
0.000 4.915 0.000
-3.622 0.000 9.895
! Volume = 395 Å³ per cell
! Uncorrected formation energy = -0.9127 eV/atom
! DFT total energy = -5.50 eV/atom
! Space group = No. 11
! Magnetization = 0.0 μB/cell

Entry 8:
! Zr2TaOs | Alexandria via LeMat-Bulk | PBE | relaxed; values from VASP
&SYSTEM
  ibrav = 0, nat = 4, ntyp = 3
/
ATOMIC_SPECIES
Zr 91.22 Zr.upf
Ta 180.95 Ta.upf
Os 190.23 Os.upf
ATOMIC_POSITIONS crystal
Zr 0.250 0.250 0.250
Zr 0.750 0.750 0.750
Ta 0.000 0.000 0.000
Os 0.500 0.500 0.500
CELL_PARAMETERS angstrom
0.000 3.348 3.348
3.348 0.000 3.348
3.348 3.348 0.000
! Volume = 75 Å³ per cell
! Energy of formation = -0.09 eV per atom
! DFT total energy = -10.14 eV/atom
! Space group = No. 225
! Magnetization = 0.0 μB/cell

Entry 9:
! TlCr2Si | Alexandria via LeMat-Bulk | PBE | relaxed; values from VASP
&SYSTEM
  ibrav = 0, nat = 4, ntyp = 3
/
ATOMIC_SPECIES
Tl 204.38 Tl.upf
Cr 52.00 Cr.upf
Si 28.09 Si.upf
ATOMIC_POSITIONS crystal
Tl 0.000 0.000 0.000
Cr 0.286 0.786 0.500
Cr 0.714 0.214 0.500
Si 0.500 0.500 0.000
CELL_PARAMETERS angstrom
-1.853 2.392 3.851
1.853 -2.392 3.851
1.853 2.392 -3.851
! Volume = 68 Å³ per cell
! Uncorrected formation energy = 0.5409 eV/atom
! DFT total energy = -6.22 eV/atom
! Space group = No. 71
! Magnetization = 6.1 μB/cell

Entry 10:
! Be16CoMo2 | Alexandria via LeMat-Bulk | PBE | relaxed; values from VASP
&SYSTEM
  ibrav = 0, nat = 19, ntyp = 3
/
ATOMIC_SPECIES
Be 9.01 Be.upf
Co 58.93 Co.upf
Mo 95.94 Mo.upf
ATOMIC_POSITIONS crystal
Be 0.000 0.296 0.705
Be 0.000 0.705 0.296
Be 0.002 0.002 0.504
Be 0.002 0.504 0.002
Be 0.106 0.106 0.106
Be 0.161 0.653 0.653
Be 0.296 0.000 0.705
Be 0.296 0.705 0.000
Be 0.354 0.354 0.841
Be 0.354 0.841 0.354
Be 0.504 0.002 0.002
Be 0.653 0.161 0.653
Be 0.653 0.653 0.161
Be 0.705 0.000 0.296
Be 0.705 0.296 0.000
Be 0.841 0.354 0.354
Co 0.906 0.906 0.906
Mo 0.339 0.339 0.339
Mo 0.662 0.662 0.662
CELL_PARAMETERS angstrom
3.658 2.112 3.537
-3.658 2.112 3.537
0.000 -4.224 3.537
! Volume = 164 Å³ per cell
! Energy of formation = -0.20 eV per atom
! DFT total energy = -4.85 eV/atom
! Space group = No. 160
! Magnetization = 0.0 μB/cell

Entry 11:
! Ac6Zn5Ni | Alexandria via LeMat-Bulk | PBE | relaxed; values from VASP
&SYSTEM
  ibrav = 0, nat = 12, ntyp = 3
/
ATOMIC_SPECIES
Ac 227.00 Ac.upf
Zn 65.41 Zn.upf
Ni 58.69 Ni.upf
ATOMIC_POSITIONS crystal
Ac 0.081 0.597 0.339
Ac 0.238 0.762 0.000
Ac 0.403 0.919 0.661
Ac 0.597 0.081 0.339
Ac 0.762 0.238 0.000
Ac 0.919 0.403 0.661
Zn 0.178 0.178 0.178
Zn 0.332 0.332 0.831
Zn 0.500 0.500 0.500
Zn 0.668 0.668 0.169
Zn 0.822 0.822 0.822
Ni 0.000 0.000 0.500
CELL_PARAMETERS angstrom
8.647 -3.883 0.000
8.647 3.883 0.000
-1.732 0.000 5.204
! Volume = 349 Å³ per cell
! Energy of formation = -0.22 eV per atom
! DFT total energy = -3.29 eV/atom
! Space group = No. 12
! Magnetization = 0.0 μB/cell

Entry 12:
! LiPuSc2S4 | Alexandria via LeMat-Bulk | PBE | relaxed; values from VASP
&SYSTEM
  ibrav = 0, nat = 8, ntyp = 4
/
ATOMIC_SPECIES
Li 6.94 Li.upf
Pu 244.00 Pu.upf
Sc 44.96 Sc.upf
S 32.06 S.upf
ATOMIC_POSITIONS crystal
Li 0.000 0.000 0.000
Pu 0.500 0.500 0.000
Sc 0.000 0.500 0.500
Sc 0.500 0.000 0.500
S 0.239 0.000 0.736
S 0.248 0.500 0.263
S 0.752 0.500 0.737
S 0.761 0.000 0.264
CELL_PARAMETERS angstrom
6.492 0.000 0.000
0.000 3.766 0.000
-2.190 0.000 6.239
! Volume = 153 Å³ per cell
! Uncorrected formation energy = -1.7889 eV/atom
! DFT total energy = -7.47 eV/atom
! Space group = No. 10
! Magnetization = 5.8 μB/cell

Question: Look up the volume of the tenth one.
Answer: 164 Å³ per cell

Please write out number 5 again, unchanged.
! Ba2NCl | Alexandria via LeMat-Bulk | PBE | relaxed; values from VASP
&SYSTEM
  ibrav = 0, nat = 4, ntyp = 3
/
ATOMIC_SPECIES
Ba 137.33 Ba.upf
N 14.01 N.upf
Cl 35.45 Cl.upf
ATOMIC_POSITIONS crystal
Ba 0.250 0.250 0.250
Ba 0.750 0.750 0.750
N 0.000 0.000 0.000
Cl 0.500 0.500 0.500
CELL_PARAMETERS angstrom
0.000 3.670 3.670
3.670 0.000 3.670
3.670 3.670 0.000
! Volume = 99 Å³ per cell
! Uncorrected formation energy = -0.8358 eV/atom
! DFT total energy = -4.34 eV/atom
! Space group = No. 225
! Magnetization = 0.0 μB/cell

Question: Among the records above, which one has the highest magnetization?
Answer: TlCr2Si